No. 1
The following is a PBE calculation of a relaxed structure of Ba2HfP2N6, from Alexandria.

abc: 6.773 6.773 6.773
angles: 50.16 50.16 50.16
Sites, in units of the cell vectors:
Ba: 0.217 0.217 0.217
Ba: 0.783 0.783 0.783
Hf: 0.000 0.000 0.000
P: 0.408 0.408 0.408
P: 0.592 0.592 0.592
N: 0.250 0.250 0.727
N: 0.250 0.727 0.250
N: 0.273 0.750 0.750
N: 0.727 0.250 0.250
N: 0.750 0.273 0.750
N: 0.750 0.750 0.273

Properties
Its volume is 169 Å³ per cell. As for the uncorrected formation energy: -0.98 eV per atom. Its theoretical density is 5.90 g cm⁻³. Its total magnetization is 0.00 μB per cell.

---

No. 2
The following is a PBE calculation of a relaxed structure of Sm3BeCl3, from Alexandria.

abc: 9.847 9.847 9.847
angles: 109.47 109.47 109.47
Sites, in units of the cell vectors:
Sm: 0.007 0.014 0.257
Sm: 0.007 0.493 0.750
Sm: 0.014 0.257 0.007
Sm: 0.243 0.257 0.750
Sm: 0.243 0.486 0.493
Sm: 0.257 0.007 0.014
Sm: 0.257 0.750 0.243
Sm: 0.486 0.493 0.243
Sm: 0.493 0.243 0.486
Sm: 0.493 0.750 0.007
Sm: 0.750 0.007 0.493
Sm: 0.750 0.243 0.257
Be: 0.000 0.250 0.500
Be: 0.250 0.250 0.250
Be: 0.250 0.500 0.000
Be: 0.500 0.000 0.250
Cl: 0.250 0.756 0.744
Cl: 0.250 0.994 0.506
Cl: 0.506 0.250 0.994
Cl: 0.506 0.756 0.511
Cl: 0.511 0.506 0.756
Cl: 0.744 0.250 0.756
Cl: 0.744 0.994 0.989
Cl: 0.756 0.511 0.506
Cl: 0.756 0.744 0.250
Cl: 0.989 0.744 0.994
Cl: 0.994 0.506 0.250
Cl: 0.994 0.989 0.744

Properties
Its volume is 735 Å³ per cell. As for the uncorrected formation energy: -1.29 eV per atom. Its theoretical density is 5.12 g cm⁻³. Its total magnetization is 0.00 μB per cell.

---

Please write out number 1 again, unchanged.
The following is a PBE calculation of a relaxed structure of Ba2HfP2N6, from Alexandria.

abc: 6.773 6.773 6.773
angles: 50.16 50.16 50.16
Sites, in units of the cell vectors:
Ba: 0.217 0.217 0.217
Ba: 0.783 0.783 0.783
Hf: 0.000 0.000 0.000
P: 0.408 0.408 0.408
P: 0.592 0.592 0.592
N: 0.250 0.250 0.727
N: 0.250 0.727 0.250
N: 0.273 0.750 0.750
N: 0.727 0.250 0.250
N: 0.750 0.273 0.750
N: 0.750 0.750 0.273

Properties
Its volume is 169 Å³ per cell. As for the uncorrected formation energy: -0.98 eV per atom. Its theoretical density is 5.90 g cm⁻³. Its total magnetization is 0.00 μB per cell.